# ZrIn2Co | Alexandria via LeMat-Bulk | PBE | relaxed
# DFT formation energy: 7 meV per atom
data_ZrIn2Co
_chemical_formula_sum 'Zr2 In4 Co2'
_cell_length_a 3.4163
_cell_length_b 4.7185
_cell_length_c 9.7900
_cell_angle_alpha 90.00
_cell_angle_beta 90.00
_cell_angle_gamma 90.00
_symmetry_space_group_name_H-M 'I m m 2'
_symmetry_Int_Tables_number 44
loop_
_symmetry_equiv_pos_as_xyz
'x,y,z'
'-x,-y,z'
'-x,y,z'
'x,-y,z'
'x+1/2,y+1/2,z+1/2'
'-x+1/2,-y+1/2,z+1/2'
'-x+1/2,y+1/2,z+1/2'
'x+1/2,-y+1/2,z+1/2'
loop_
_atom_site_label
_atom_site_fract_x
_atom_site_fract_y
_atom_site_fract_z
Zr1 0.0000 0.0000 0.0000
In1 0.0000 0.0000 0.4218
In2 0.0000 0.5000 0.2125
Co1 0.0000 0.5000 0.6961


# TiAgF2 | Alexandria via LeMat-Bulk | PBE | relaxed
# Uncorrected formation energy: -1.073 eV per atom
data_TiAgF2
_chemical_formula_sum 'Ti4 Ag4 F8'
_cell_length_a 6.0609
_cell_length_b 6.0609
_cell_length_c 6.0609
_cell_angle_alpha 90.00
_cell_angle_beta 90.00
_cell_angle_gamma 90.00
_symmetry_space_group_name_H-M 'F m -3 m'
_symmetry_Int_Tables_number 225
_symmetry_space_group_name_Hall '-F 4 2 3'
loop_
_atom_site_label
_atom_site_fract_x
_atom_site_fract_y
_atom_site_fract_z
Ti1 0.0000 0.0000 0.0000
Ag1 0.0000 0.0000 0.5000
F1 0.2500 0.2500 0.2500


# Cs2BiC | Alexandria via LeMat-Bulk | PBE | relaxed
# DFT formation energy: 1316 meV per atom
data_Cs2BiC
_chemical_formula_sum 'Cs8 Bi4 C4'
_cell_length_a 9.0036
_cell_length_b 9.0036
_cell_length_c 9.0036
_cell_angle_alpha 90.00
_cell_angle_beta 90.00
_cell_angle_gamma 90.00
_symmetry_space_group_name_H-M 'F m -3 m'
_symmetry_Int_Tables_number 225
_symmetry_space_group_name_Hall '-F 4 2 3'
loop_
_atom_site_label
_atom_site_fract_x
_atom_site_fract_y
_atom_site_fract_z
Cs1 0.2500 0.2500 0.2500
Bi1 0.0000 0.0000 0.0000
C1 0.0000 0.0000 0.5000


# BaMgCu2 | Alexandria via LeMat-Bulk | PBE | relaxed
# DFT formation energy: 70 meV per atom
data_BaMgCu2
_chemical_formula_sum 'Ba2 Mg2 Cu4'
_cell_length_a 3.7763
_cell_length_b 4.2221
_cell_length_c 12.7803
_cell_angle_alpha 90.00
_cell_angle_beta 90.00
_cell_angle_gamma 90.00
_symmetry_space_group_name_H-M 'I m m 2'
_symmetry_Int_Tables_number 44
loop_
_symmetry_equiv_pos_as_xyz
'x,y,z'
'-x,-y,z'
'-x,y,z'
'x,-y,z'
'x+1/2,y+1/2,z+1/2'
'-x+1/2,-y+1/2,z+1/2'
'-x+1/2,y+1/2,z+1/2'
'x+1/2,-y+1/2,z+1/2'
loop_
_atom_site_label
_atom_site_fract_x
_atom_site_fract_y
_atom_site_fract_z
Ba1 0.0000 0.0000 0.0000
Mg1 0.0000 0.5000 0.2394
Cu1 0.0000 0.0000 0.3632
Cu2 0.0000 0.5000 0.7418